Record 1
! KBaPd | Alexandria | PBE | relaxed; values from VASP
&SYSTEM
  ibrav = 0, nat = 12, ntyp = 3
/
ATOMIC_SPECIES
K 39.10 K.upf
Pd 106.42 Pd.upf
Ba 137.33 Ba.upf
CELL_PARAMETERS angstrom
4.504 0.000 0.000
-2.252 3.901 0.000
0.000 0.000 31.164
ATOMIC_POSITIONS crystal
K 0.667 0.333 0.060
K 0.333 0.667 0.940
K 0.333 0.667 0.819
K 0.667 0.333 0.181
Pd 0.667 0.333 0.374
Pd 0.667 0.333 0.882
Pd 0.333 0.667 0.118
Pd 0.333 0.667 0.626
Ba 0.667 0.333 0.564
Ba 0.333 0.667 0.436
Ba 0.333 0.667 0.313
Ba 0.667 0.333 0.687
! E_form (meV per atom): -8
! Space-group type: P-3m1
! DOS at the Fermi energy (states/eV/cell): 9.10
! V (Å³/f.u.): 137

Record 2
! MgCr2W | Alexandria | PBE | relaxed; values from VASP
&SYSTEM
  ibrav = 0, nat = 4, ntyp = 3
/
ATOMIC_SPECIES
Cr 52.00 Cr.upf
Mg 24.30 Mg.upf
W 183.84 W.upf
CELL_PARAMETERS angstrom
-2.642 0.108 -0.364
1.180 -0.680 -2.296
-0.642 -8.418 2.162
ATOMIC_POSITIONS crystal
Cr 0.000 0.000 0.986
Cr 0.000 0.000 0.514
Mg 0.500 0.500 0.250
W 0.500 0.500 0.750
! E_form (meV per atom): 356
! Space-group type: Cmmm
! Relative energy among the computed polymorphs (meV/atom): 29
! DOS at the Fermi energy (states/eV/cell): 3.70
! V (Å³/f.u.): 59

Record 3
! La2CdHS | Alexandria | PBE | relaxed; values from VASP
&SYSTEM
  ibrav = 0, nat = 5, ntyp = 4
/
ATOMIC_SPECIES
H 1.01 H.upf
S 32.06 S.upf
Cd 112.41 Cd.upf
La 138.91 La.upf
CELL_PARAMETERS angstrom
5.815 0.000 0.000
0.000 3.594 0.000
0.000 0.000 5.815
ATOMIC_POSITIONS crystal
H 0.000 0.500 0.000
S 0.000 0.000 0.000
Cd 0.500 0.500 0.500
La 0.000 0.000 0.500
La 0.500 0.000 0.000
! Space-group type: P4/mmm
! Relative energy among the computed polymorphs (meV/atom): 0
! DOS at the Fermi energy (states/eV/cell): 4.05
! V (Å³/f.u.): 122

Record 4
! TbPrY14 | Alexandria | PBE | relaxed; values from VASP
&SYSTEM
  ibrav = 0, nat = 16, ntyp = 3
/
ATOMIC_SPECIES
Tb 158.93 Tb.upf
Pr 140.91 Pr.upf
Y 88.91 Y.upf
CELL_PARAMETERS angstrom
-0.758 -6.857 -1.933
5.793 -1.725 3.847
-5.848 -1.630 8.075
ATOMIC_POSITIONS crystal
Tb 0.375 0.625 0.000
Pr 0.875 0.125 0.000
Y 0.375 0.625 0.500
Y 0.875 0.125 0.500
Y 0.875 0.625 0.000
Y 0.875 0.625 0.500
Y 0.375 0.125 0.000
Y 0.375 0.125 0.500
Y 0.624 0.874 0.749
Y 0.624 0.874 0.251
Y 0.126 0.376 0.749
Y 0.126 0.376 0.251
Y 0.126 0.874 0.749
Y 0.126 0.874 0.251
Y 0.624 0.376 0.749
Y 0.624 0.376 0.251
! E_form (meV per atom): 21
! Space-group type: P4/mmm
! DOS at the Fermi energy (states/eV/cell): 21.88
! V (Å³/f.u.): 519

Record 5
! Sm5Mg4Ga | Alexandria | PBE | relaxed; values from VASP
&SYSTEM
  ibrav = 0, nat = 10, ntyp = 3
/
ATOMIC_SPECIES
Sm 150.36 Sm.upf
Mg 24.30 Mg.upf
Ga 69.72 Ga.upf
CELL_PARAMETERS angstrom
-0.180 -2.472 2.853
3.775 -0.093 0.158
-0.169 14.603 12.642
ATOMIC_POSITIONS crystal
Sm 0.500 0.500 0.089
Sm 0.500 0.500 0.295
Sm 0.500 0.500 0.500
Sm 0.500 0.500 0.705
Sm 0.500 0.500 0.911
Mg 0.000 0.000 0.194
Mg 0.000 0.000 0.397
Mg 0.000 0.000 0.603
Mg 0.000 0.000 0.806
Ga 0.000 0.000 0.000
! E_form (meV per atom): -192
! Space-group type: P4/mmm
! DOS at the Fermi energy (states/eV/cell): 11.26
! V (Å³/f.u.): 276

Record 6
! AlAgRh2O | Alexandria | PBE | relaxed; values from VASP
&SYSTEM
  ibrav = 0, nat = 5, ntyp = 4
/
ATOMIC_SPECIES
O 16.00 O.upf
Rh 102.91 Rh.upf
Al 26.98 Al.upf
Ag 107.87 Ag.upf
CELL_PARAMETERS angstrom
-1.561 3.663 -2.917
-3.487 -2.691 -1.514
-2.876 1.676 3.644
ATOMIC_POSITIONS crystal
O 0.500 0.500 0.500
Rh 0.000 0.000 0.500
Rh 0.500 0.000 0.000
Al 0.000 0.500 0.000
Ag 0.000 0.000 0.000
! E_form (uncorrected) (meV per atom): 1690
! Space-group type: P4/mmm
! DOS at the Fermi energy (states/eV/cell): 5.78
! V (Å³/f.u.): 113

Record 7
! YBeI2 | Alexandria | PBE | relaxed; values from VASP
&SYSTEM
  ibrav = 0, nat = 4, ntyp = 3
/
ATOMIC_SPECIES
I 126.90 I.upf
Y 88.91 Y.upf
Be 9.01 Be.upf
CELL_PARAMETERS angstrom
0.000 3.792 3.792
3.792 0.000 3.792
3.792 3.792 0.000
ATOMIC_POSITIONS crystal
I 0.250 0.250 0.250
I 0.750 0.750 0.750
Y 0.500 0.500 0.500
Be 0.000 0.000 0.000
! E_form (uncorrected) (meV per atom): 40
! Space-group type: Fm-3m
! Relative energy among the computed polymorphs (meV/atom): 0
! DOS at the Fermi energy (states/eV/cell): 3.60
! V (Å³/f.u.): 109

Record 8
! Cr3ReSe | Alexandria | PBE | relaxed; values from VASP
&SYSTEM
  ibrav = 0, nat = 5, ntyp = 3
/
ATOMIC_SPECIES
Re 186.21 Re.upf
Se 78.96 Se.upf
Cr 52.00 Cr.upf
CELL_PARAMETERS angstrom
4.262 0.000 0.000
0.000 4.262 0.000
0.000 0.000 4.262
ATOMIC_POSITIONS crystal
Re 0.500 0.500 0.500
Se 0.000 0.000 0.000
Cr 0.000 0.500 0.000
Cr 0.000 0.000 0.500
Cr 0.500 0.000 0.000
! E_form (uncorrected) (meV per atom): 1302
! Space-group type: Pm-3m
! Relative energy among the computed polymorphs (meV/atom): 21
! DOS at the Fermi energy (states/eV/cell): 3.48
! V (Å³/f.u.): 77

Record 9
! Tb3Dy2TaN6 | Alexandria | PBE | relaxed; values from VASP
&SYSTEM
  ibrav = 0, nat = 12, ntyp = 4
/
ATOMIC_SPECIES
Tb 158.93 Tb.upf
Dy 162.50 Dy.upf
Ta 180.95 Ta.upf
N 14.01 N.upf
CELL_PARAMETERS angstrom
-5.839 -0.455 0.670
3.579 -1.066 4.561
0.502 5.864 -0.294
ATOMIC_POSITIONS crystal
Tb 0.166 0.834 0.500
Tb 0.834 0.166 0.500
Tb 0.500 0.500 0.500
Dy 0.333 0.667 0.000
Dy 0.667 0.333 0.000
Ta 0.000 0.000 0.000
N 0.923 0.614 0.769
N 0.768 0.768 0.235
N 0.077 0.386 0.231
N 0.614 0.923 0.769
N 0.232 0.232 0.765
N 0.386 0.077 0.231
! E_form (uncorrected) (meV per atom): -1599
! Space-group type: C2/m
! DOS at the Fermi energy (states/eV/cell): 1.86
! V (Å³/f.u.): 167

Record 10
! Np6As5S | Alexandria | PBE | relaxed; values from VASP
&SYSTEM
  ibrav = 0, nat = 12, ntyp = 3
/
ATOMIC_SPECIES
Np 237.00 Np.upf
As 74.92 As.upf
S 32.06 S.upf
CELL_PARAMETERS angstrom
6.992 0.171 1.062
1.718 5.927 3.456
0.118 0.062 7.073
ATOMIC_POSITIONS crystal
Np 0.754 0.082 0.327
Np 0.246 0.591 0.327
Np 0.248 0.245 0.000
Np 0.752 0.755 0.000
Np 0.754 0.409 0.673
Np 0.246 0.918 0.673
As 0.500 0.169 0.661
As 0.000 0.334 0.332
As 0.500 0.500 0.000
As 0.000 0.666 0.668
As 0.500 0.831 0.339
S 0.000 0.000 0.000
! E_form (uncorrected) (meV per atom): -798
! Space-group type: C2/m
! DOS at the Fermi energy (states/eV/cell): 47.18
! V (Å³/f.u.): 289

Record 11
! LiNdSmCu | Alexandria | PBE | relaxed; values from VASP
&SYSTEM
  ibrav = 0, nat = 4, ntyp = 4
/
ATOMIC_SPECIES
Nd 144.24 Nd.upf
Cu 63.55 Cu.upf
Sm 150.36 Sm.upf
Li 6.94 Li.upf
CELL_PARAMETERS angstrom
-3.404 -3.716 -1.135
-1.475 -3.352 3.643
-4.791 0.213 1.918
ATOMIC_POSITIONS crystal
Nd 0.500 0.500 0.500
Cu 0.250 0.250 0.250
Sm 0.000 0.000 0.000
Li 0.750 0.750 0.750
! E_form (meV per atom): 13
! Space-group type: F-43m
! DOS at the Fermi energy (states/eV/cell): 5.23
! V (Å³/f.u.): 97

Record 12
! TiCdOsW2 | Alexandria | PBE | relaxed; values from VASP
&SYSTEM
  ibrav = 0, nat = 5, ntyp = 4
/
ATOMIC_SPECIES
Ti 47.87 Ti.upf
Os 190.23 Os.upf
W 183.84 W.upf
Cd 112.41 Cd.upf
CELL_PARAMETERS angstrom
4.797 0.000 0.000
0.000 4.766 0.000
0.000 0.000 4.797
ATOMIC_POSITIONS crystal
Ti 0.500 0.500 0.500
Os 0.000 0.500 0.000
W 0.000 0.000 0.500
W 0.500 0.000 0.000
Cd 0.000 0.000 0.000
! E_form (meV per atom): 2803
! Space-group type: P4/mmm
! DOS at the Fermi energy (states/eV/cell): 10.04
! V (Å³/f.u.): 110